Entry from the Alexandria database: a relaxed VSiS crystal (PBE-GGA).

Output
**Uncorrected formation energy**: -0.352 eV per atom
**Density of states at the Fermi level**: 0.649 states/eV/atom
**Size of the total moment**: 1.8 Bohr magnetons per cell

Geometry as CIF:
```
data_VSiS
_space_group_name_H-M_alt 'P 1'
_space_group_IT_number 1
_cell_length_a 2.991
_cell_length_b 4.816
_cell_length_c 12.054
_cell_angle_alpha 90.00
_cell_angle_beta 90.00
_cell_angle_gamma 90.00
loop_
_space_group_symop_operation_xyz
'x,y,z'
loop_
_atom_site_label
_atom_site_type_symbol
_atom_site_fract_x
_atom_site_fract_y
_atom_site_fract_z
Si1 Si 0.500 0.250 0.250
S1 S 0.000 0.500 0.457
V1 V 0.500 0.500 0.608
Si2 Si 0.000 0.750 0.750
Si3 Si 0.500 0.750 0.250
V2 V 0.000 0.000 0.392
S2 S 0.500 0.500 0.957
S3 S 0.500 0.000 0.543
V3 V 0.000 0.500 0.108
Si4 Si 0.000 0.250 0.750
V4 V 0.500 0.000 0.892
S4 S 0.000 0.000 0.043
```